Entry 1:
First-principles (PBE) data for an optimized crystal structure of Pr2UH, as listed in Alexandria.

Properties
Total energy   -5.73 eV/atom

a = 3.2917 Å, b = 3.2917 Å, c = 29.3116 Å
α = 90.00°, β = 90.00°, γ = 120.00°
Space group R-3m (No. 166, hexagonal axes)
One atom of each set of equivalent atoms:
Pr 0.0000 0.0000 0.1112 [6 per cell]
U 0.0000 0.0000 0.0000 [3 per cell]
H 0.0000 0.0000 0.5000 [3 per cell]

***

Entry 2:
First-principles (PBE) data for an optimized crystal structure of PrVH2, as listed in Alexandria.

Properties
Total energy   -5.10 eV/atom

a = 3.0761 Å, b = 3.0761 Å, c = 17.4795 Å
α = 90.00°, β = 90.00°, γ = 120.00°
Space group R-3m (No. 166, hexagonal axes)
One atom of each set of equivalent atoms:
Pr 0.0000 0.0000 0.0000 [3 per cell]
V 0.0000 0.0000 0.5000 [3 per cell]
H 0.0000 0.0000 0.2122 [6 per cell]

***

Entry 3:
First-principles (PBE) data for an optimized crystal structure of Pr2VH, as listed in Alexandria.

Properties
Total energy   -5.03 eV/atom

a = 3.3622 Å, b = 3.3622 Å, c = 27.1860 Å
α = 90.00°, β = 90.00°, γ = 120.00°
Space group R-3m (No. 166, hexagonal axes)
One atom of each set of equivalent atoms:
Pr 0.0000 0.0000 0.1067 [6 per cell]
V 0.0000 0.0000 0.0000 [3 per cell]
H 0.0000 0.0000 0.5000 [3 per cell]

***

Entry 4:
First-principles (PBE) data for an optimized crystal structure of PrV2H8, as listed in Alexandria.

Properties
Total energy   -4.77 eV/atom

a = 4.5388 Å, b = 4.5388 Å, c = 4.8669 Å
α = 90.00°, β = 90.00°, γ = 120.00°
Space group P31m (No. 157)
One atom of each set of equivalent atoms:
Pr 0.0000 0.0000 0.0000 [1 per cell]
V 0.3333 0.6667 0.5165 [2 per cell]
H 0.0000 0.2568 0.5936 [3 per cell]
H 0.0000 0.5439 0.2697 [3 per cell]
H 0.3333 0.6667 0.8747 [2 per cell]

***

Entry 5:
First-principles (PBE) data for an optimized crystal structure of PrVH3, as listed in Alexandria.

Properties
Total energy   -5.04 eV/atom

a = 3.7441 Å, b = 3.7441 Å, c = 3.7441 Å
α = 90.00°, β = 90.00°, γ = 90.00°
Space group Pm-3m (No. 221)
One atom of each set of equivalent atoms:
Pr 0.0000 0.0000 0.0000 [1 per cell]
V 0.5000 0.5000 0.5000 [1 per cell]
H 0.0000 0.5000 0.5000 [3 per cell]

***

Entry 6:
First-principles (PBE) data for an optimized crystal structure of PrH8W2, as listed in Alexandria.

Properties
Total energy   -5.28 eV/atom

a = 4.6584 Å, b = 4.8587 Å, c = 4.9080 Å
α = 60.39°, β = 89.70°, γ = 89.41°
Space group P1 (No. 1)
One atom of each set of equivalent atoms:
Pr 0.0000 0.0000 0.0000 [1 per cell]
H 0.2484 0.4070 0.5513 [1 per cell]
H 0.2486 0.9578 0.4493 [1 per cell]
H 0.2953 0.6024 0.0008 [1 per cell]
H 0.5195 0.1989 0.0003 [1 per cell]
H 0.6544 0.9539 0.6947 [1 per cell]
H 0.6564 0.6467 0.3074 [1 per cell]
H 0.8800 0.2684 0.2933 [1 per cell]
H 0.8800 0.5617 0.7092 [1 per cell]
W 0.5036 0.2876 0.3296 [1 per cell]
W 0.5035 0.6168 0.6715 [1 per cell]

***

Entry 7:
First-principles (PBE) data for an optimized crystal structure of Pr2YH, as listed in Alexandria.

Properties
Total energy   -4.76 eV/atom
Polymorph energy (0 for the lowest one)   227 meV/atom

a = 3.4735 Å, b = 3.4735 Å, c = 8.7256 Å
α = 90.00°, β = 90.00°, γ = 90.00°
Space group P4/mmm (No. 123)
One atom of each set of equivalent atoms:
Pr 0.0000 0.0000 0.1893 [2 per cell]
Y 0.5000 0.5000 0.5000 [1 per cell]
H 0.5000 0.5000 0.0000 [1 per cell]

***

Entry 8:
First-principles (PBE) data for an optimized crystal structure of Pr2YH, as listed in Alexandria.

Properties
Total energy   -4.98 eV/atom
Polymorph energy (0 for the lowest one)   0 meV/atom

a = 3.7162 Å, b = 3.7162 Å, c = 26.6936 Å
α = 90.00°, β = 90.00°, γ = 120.00°
Space group R-3m (No. 166, hexagonal axes)
One atom of each set of equivalent atoms:
Pr 0.0000 0.0000 0.2224 [6 per cell]
Y 0.0000 0.0000 0.0000 [3 per cell]
H 0.0000 0.0000 0.5000 [3 per cell]

***

Entry 9:
First-principles (PBE) data for an optimized crystal structure of Pr2Y4H, as listed in Alexandria.

Properties
Total energy   -5.48 eV/atom

a = 4.9062 Å, b = 4.9062 Å, c = 17.5044 Å
α = 90.00°, β = 90.00°, γ = 90.00°
Space group I4/mmm (No. 139)
One atom of each set of equivalent atoms:
Pr 0.0000 0.0000 0.1478 [4 per cell]
Y 0.0000 0.0000 0.3497 [4 per cell]
Y 0.0000 0.5000 0.0000 [4 per cell]
H 0.0000 0.0000 0.5000 [2 per cell]

***

Entry 10:
First-principles (PBE) data for an optimized crystal structure of PrY2H, as listed in Alexandria.

Properties
Total energy   -5.32 eV/atom

a = 3.5232 Å, b = 3.5232 Å, c = 28.8303 Å
α = 90.00°, β = 90.00°, γ = 120.00°
Space group R-3m (No. 166, hexagonal axes)
One atom of each set of equivalent atoms:
Pr 0.0000 0.0000 0.0000 [3 per cell]
Y 0.0000 0.0000 0.1203 [6 per cell]
H 0.0000 0.0000 0.5000 [3 per cell]

***

Entry 11:
First-principles (PBE) data for an optimized crystal structure of Pr2YH4, as listed in Alexandria.

Properties
Total energy   -4.49 eV/atom

a = 4.0726 Å, b = 4.0726 Å, c = 13.5334 Å
α = 90.00°, β = 90.00°, γ = 90.00°
Space group I4/mmm (No. 139)
One atom of each set of equivalent atoms:
Pr 0.0000 0.0000 0.1644 [4 per cell]
Y 0.0000 0.0000 0.5000 [2 per cell]
H 0.0000 0.0000 0.3368 [4 per cell]
H 0.0000 0.5000 0.0000 [4 per cell]

***

Entry 12:
First-principles (PBE) data for an optimized crystal structure of Pr3YH, as listed in Alexandria.

Properties
Total energy   -5.00 eV/atom

a = 5.1947 Å, b = 5.1947 Å, c = 5.1947 Å
α = 90.00°, β = 90.00°, γ = 90.00°
Space group Pm-3m (No. 221)
One atom of each set of equivalent atoms:
Pr 0.0000 0.0000 0.5000 [3 per cell]
Y 0.5000 0.5000 0.5000 [1 per cell]
H 0.0000 0.0000 0.0000 [1 per cell]